# TbUN2

Crystalline TbUN2 at its relaxed geometry (GGA-PBE, Alexandria).

It has space group P6_3/mmc (No. 194), with a = 3.4552 Å, b = 3.4552 Å, c = 11.4388 Å, α = 90.00°, β = 90.00° and γ = 120.00°. Symmetry generates all atoms from Tb at (0.3333, 0.6667, 0.2500), U at (0.0000, 0.0000, 0.0000) and N at (0.3333, 0.6667, 0.6139).

The value obtained for the total magnetic moment is 0.321 μB per atom. For the uncorrected formation energy, the calculation gives -1.46 eV per atom.

***

# TbU5N6

Crystalline TbU5N6 at its relaxed geometry (GGA-PBE, Alexandria).

It has space group C2/m (No. 12), with a = 5.9658 Å, b = 10.3231 Å, c = 5.9777 Å, α = 90.00°, β = 109.50° and γ = 90.00°. Symmetry generates all atoms from Tb at (0.0000, 0.0000, 0.0000), U at (0.0000, 0.1648, 0.5000), U at (0.0000, 0.3334, 0.0000), U at (0.0000, 0.5000, 0.5000), N at (0.2453, 0.5000, 0.2500) and N at (0.2467, 0.3306, 0.7484).

The value obtained for the total magnetic moment is 0.523 μB per atom. For the uncorrected formation energy, the calculation gives -1.36 eV per atom.

***

# Tb4UN5

Crystalline Tb4UN5 at its relaxed geometry (GGA-PBE, Alexandria).

It has space group I4/m (No. 87), with a = 7.7604 Å, b = 7.7604 Å, c = 4.9298 Å, α = 90.00°, β = 90.00° and γ = 90.00°. Symmetry generates all atoms from Tb at (0.0995, 0.6991, 0.0000), U at (0.0000, 0.0000, 0.5000), N at (0.0000, 0.0000, 0.0000) and N at (0.0920, 0.7197, 0.5000).

The value obtained for the total magnetic moment is 0.096 μB per atom. For the uncorrected formation energy, the calculation gives -1.63 eV per atom.

***

# TbUN2

Crystalline TbUN2 at its relaxed geometry (GGA-PBE, Alexandria).

It has space group P4/mmm (No. 123), with a = 2.9895 Å, b = 2.9895 Å, c = 5.9849 Å, α = 90.00°, β = 90.00° and γ = 90.00°. Symmetry generates all atoms from Tb at (0.0000, 0.0000, 0.0000), U at (0.0000, 0.0000, 0.5000) and N at (0.5000, 0.5000, 0.2596).

The value obtained for the total magnetic moment is 0.485 μB per atom. For the uncorrected formation energy, the calculation gives -0.70 eV per atom.

***

# Tb3UN4

Crystalline Tb3UN4 at its relaxed geometry (GGA-PBE, Alexandria).

It has space group Cmmm (No. 65), with a = 6.9757 Å, b = 9.7834 Å, c = 3.4793 Å, α = 90.00°, β = 90.00° and γ = 90.00°. Symmetry generates all atoms from Tb at (0.0000, 0.0000, 0.0000), Tb at (0.2500, 0.2500, 0.5000), U at (0.0000, 0.5000, 0.0000), N at (0.0000, 0.2646, 0.0000) and N at (0.2369, 0.5000, 0.5000).

The calculation puts the energy above the most stable polymorph in this dataset at 0 meV per atom. The value obtained for the total magnetic moment is 0.175 μB per atom. For the uncorrected formation energy, the calculation gives -1.60 eV per atom.

***

# TbU3N4

Crystalline TbU3N4 at its relaxed geometry (GGA-PBE, Alexandria).

It has space group Cmmm (No. 65), with a = 6.8954 Å, b = 9.7757 Å, c = 3.4437 Å, α = 90.00°, β = 90.00° and γ = 90.00°. Symmetry generates all atoms from Tb at (0.0000, 0.0000, 0.0000), U at (0.0000, 0.5000, 0.0000), U at (0.2500, 0.2500, 0.5000), N at (0.0000, 0.2513, 0.0000) and N at (0.2416, 0.5000, 0.5000).

The value obtained for the total magnetic moment is 0.485 μB per atom. For the uncorrected formation energy, the calculation gives -1.39 eV per atom.

***

# Tb3UN4

Crystalline Tb3UN4 at its relaxed geometry (GGA-PBE, Alexandria).

It has space group I4/mmm (No. 139), with a = 4.9209 Å, b = 4.9209 Å, c = 9.7907 Å, α = 90.00°, β = 90.00° and γ = 90.00°. Symmetry generates all atoms from Tb at (0.0000, 0.0000, 0.0000), Tb at (0.0000, 0.5000, 0.2500), U at (0.0000, 0.0000, 0.5000), N at (0.0000, 0.0000, 0.2706) and N at (0.0000, 0.5000, 0.0000).

The calculation puts the energy above the most stable polymorph in this dataset at 2 meV per atom. The value obtained for the total magnetic moment is 0.157 μB per atom. For the uncorrected formation energy, the calculation gives -1.60 eV per atom.

***

# Tb5UN6

Crystalline Tb5UN6 at its relaxed geometry (GGA-PBE, Alexandria).

It has space group C2/m (No. 12), with a = 6.0238 Å, b = 10.4293 Å, c = 6.0204 Å, α = 90.00°, β = 109.47° and γ = 90.00°. Symmetry generates all atoms from Tb at (0.0000, 0.0000, 0.0000), Tb at (0.0000, 0.1664, 0.5000), Tb at (0.0000, 0.3324, 0.0000), U at (0.0000, 0.5000, 0.5000), N at (0.2334, 0.5000, 0.2630) and N at (0.2364, 0.3435, 0.7392).

The value obtained for the total magnetic moment is 0.057 μB per atom. For the uncorrected formation energy, the calculation gives -1.65 eV per atom.

***

# TbUN2

Crystalline TbUN2 at its relaxed geometry (GGA-PBE, Alexandria).

It has space group R3m (No. 160, hexagonal axes), with a = 3.3715 Å, b = 3.3715 Å, c = 18.1100 Å, α = 90.00°, β = 90.00° and γ = 120.00°. Symmetry generates all atoms from Tb at (0.0000, 0.0000, 0.0000), U at (0.0000, 0.0000, 0.1737), N at (0.0000, 0.0000, 0.4260) and N at (0.0000, 0.0000, 0.5889).

The value obtained for the total magnetic moment is 0.428 μB per atom. For the uncorrected formation energy, the calculation gives -1.23 eV per atom.

***

# Tb2Y3UN6

Crystalline Tb2Y3UN6 at its relaxed geometry (GGA-PBE, Alexandria).

It has space group C2/m (No. 12), with a = 6.0118 Å, b = 10.4095 Å, c = 6.0039 Å, α = 90.00°, β = 109.48° and γ = 90.00°. Symmetry generates all atoms from Tb at (0.0000, 0.1664, 0.0000), Y at (0.0000, 0.0000, 0.5000), Y at (0.0000, 0.3323, 0.5000), U at (0.0000, 0.5000, 0.0000), N at (0.2334, 0.5000, 0.7627) and N at (0.2373, 0.3431, 0.2409).

The value obtained for the total magnetic moment is 0.061 μB per atom. For the uncorrected formation energy, the calculation gives -1.66 eV per atom.

***

# TbY2UN4

Crystalline TbY2UN4 at its relaxed geometry (GGA-PBE, Alexandria).

It has space group P2/m (No. 10), with a = 5.9934 Å, b = 3.4705 Å, c = 5.9992 Å, α = 90.00°, β = 109.02° and γ = 90.00°. Symmetry generates all atoms from Tb at (0.0000, 0.0000, 0.0000), Y at (0.5000, 0.0000, 0.5000), Y at (0.5000, 0.5000, 0.0000), U at (0.0000, 0.5000, 0.5000), N at (0.2369, 0.5000, 0.2645) and N at (0.2391, 0.0000, 0.7381).

The value obtained for the total magnetic moment is 0.186 μB per atom. For the uncorrected formation energy, the calculation gives -1.61 eV per atom.

***

# Tb2YUN4

Crystalline Tb2YUN4 at its relaxed geometry (GGA-PBE, Alexandria).

It has space group P2/m (No. 10), with a = 5.9961 Å, b = 3.4751 Å, c = 6.0028 Å, α = 90.00°, β = 109.00° and γ = 90.00°. Symmetry generates all atoms from Tb at (0.0000, 0.0000, 0.0000), Tb at (0.5000, 0.5000, 0.0000), Y at (0.0000, 0.5000, 0.5000), U at (0.5000, 0.0000, 0.5000), N at (0.2624, 0.5000, 0.2634) and N at (0.2635, 0.0000, 0.7350).

The value obtained for the total magnetic moment is 0.177 μB per atom. For the uncorrected formation energy, the calculation gives -1.61 eV per atom.

***

Look up the total magnetic moment of the sixth one. 0.485 μB per atom